# 1
CdCuCl2 after structural relaxation, computed with PBE-GGA.

Properties
Excess energy over the best structure of this formula in the dataset: 163.4 kJ/mol of formula units
E_form (uncorrected): -52 meV per atom
Density of states at the Fermi level: 6.845 states/eV per cell
Calculated volume: 20.227 Å³/atom

a = 6.8657 Å, b = 6.8657 Å, c = 6.8657 Å
α = 90.00°, β = 90.00°, γ = 90.00°
Closest atoms and distances in Å follow each position.
Space group Fm-3m (No. 225)
Inequivalent atoms, fractional coordinates:
Cd1 0.0000 0.0000 0.0000 [4 per cell]  8 Cl 2.97
Cu1 0.0000 0.0000 0.5000 [4 per cell]  8 Cl 2.97
Cl1 0.2500 0.2500 0.2500 [8 per cell]  4 Cd 2.97, 4 Cu 2.97



# 2
CdCu2Cl5 after structural relaxation, computed with PBE-GGA.

Properties
E_form (uncorrected): -654 meV per atom
Density of states at the Fermi level: 10.906 states/eV per cell
Calculated volume: 29.671 Å³/atom

a = 5.0537 Å, b = 16.5652 Å, c = 11.3414 Å
α = 90.00°, β = 90.00°, γ = 90.00°
Closest atoms and distances in Å follow each position.
Space group Cmcm (No. 63)
Inequivalent atoms, fractional coordinates:
Cd1 0.0000 0.1943 0.2500 [4 per cell]  6 Cl 2.52-2.77
Cu1 0.0000 0.1830 0.5638 [8 per cell]  2 Cl 2.24-2.30
Cl1 0.0000 0.0932 0.0834 [8 per cell]  1 Cu 2.24
Cl2 0.0000 0.2382 0.7500 [4 per cell]  2 Cu 2.30
Cl3 0.0000 0.3100 0.0736 [8 per cell]  3 Cu 2.53-2.62, 1 Cd 2.77